Record 1
{"formula": "LiTl2Cr", "functional": "PBE", "state": "optimized geometry", "lattice_angstrom": [[4.573, -1.615, 0.000], [4.573, 1.615, 0.000], [-0.940, 0.000, 5.968]], "species": ["Li", "Tl", "Tl", "Cr"], "frac_coords": [[0.000, 0.000, 0.000], [0.249, 0.249, 0.752], [0.751, 0.751, 0.248], [0.500, 0.500, 0.500]], "volume_a3_per_atom": 22.04, "space_group": "C2/m (12)", "dft_energy_ev_per_atom": -3.78, "density_g_cm3": 8.8, "formation_energy_ev_per_atom": 0.29, "crystal_system": "monoclinic"}

=====

Record 2
{"formula": "LiTl2Cr", "functional": "PBE", "state": "optimized geometry", "lattice_angstrom": [[3.502, 0.000, 0.000], [0.000, 3.504, 0.000], [-0.023, 0.000, 6.772]], "species": ["Li", "Tl", "Tl", "Cr"], "frac_coords": [[0.000, 0.000, 0.000], [0.500, 0.500, 0.250], [0.500, 0.500, 0.750], [0.000, 0.000, 0.500]], "volume_a3_per_atom": 20.77, "space_group": "P2/m (10)", "dft_energy_ev_per_atom": -3.86, "density_g_cm3": 9.3, "formation_energy_ev_per_atom": 0.21, "crystal_system": "monoclinic"}

=====

Record 3
{"formula": "LiTlCr2", "functional": "PBE", "state": "optimized geometry", "lattice_angstrom": [[3.416, 0.000, 0.000], [0.000, 3.416, 0.000], [0.000, 0.000, 6.320]], "species": ["Li", "Tl", "Cr", "Cr"], "frac_coords": [[0.000, 0.000, 0.000], [0.000, 0.000, 0.500], [0.500, 0.500, 0.241], [0.500, 0.500, 0.759]], "volume_a3_per_atom": 18.44, "space_group": "P4/mmm (123)", "dft_energy_ev_per_atom": -5.19, "density_g_cm3": 7.1, "formation_energy_ev_per_atom": 0.69, "crystal_system": "tetragonal"}

=====

Record 4
{"formula": "LiTl2Cr", "functional": "PBE", "state": "optimized geometry", "lattice_angstrom": [[1.676, 0.968, 9.075], [-1.676, 0.968, 9.075], [0.000, -1.936, 9.075]], "species": ["Li", "Tl", "Tl", "Cr"], "frac_coords": [[0.000, 0.000, 0.000], [0.249, 0.249, 0.249], [0.751, 0.751, 0.751], [0.500, 0.500, 0.500]], "volume_a3_per_atom": 22.09, "space_group": "R-3m (166)", "dft_energy_ev_per_atom": -3.77, "density_g_cm3": 8.8, "formation_energy_ev_per_atom": 0.30, "crystal_system": "trigonal"}

=====

Record 5
{"formula": "LiTlCr2", "functional": "PBE", "state": "optimized geometry", "lattice_angstrom": [[2.464, -4.444, 0.000], [2.464, 4.444, 0.000], [0.000, 0.000, 2.726]], "species": ["Li", "Tl", "Cr", "Cr"], "frac_coords": [[0.000, 0.000, 0.000], [0.500, 0.500, 0.000], [0.000, 0.500, 0.500], [0.500, 0.000, 0.500]], "volume_a3_per_atom": 14.92, "space_group": "Cmmm (65)", "dft_energy_ev_per_atom": -5.09, "density_g_cm3": 8.8, "formation_energy_ev_per_atom": 0.79, "crystal_system": "orthorhombic"}

=====

Record 6
{"formula": "LiTl2Cr", "functional": "PBE", "state": "optimized geometry", "lattice_angstrom": [[3.800, 0.000, 0.000], [0.000, 3.800, 0.000], [0.000, 0.000, 6.112]], "species": ["Li", "Tl", "Tl", "Cr"], "frac_coords": [[0.000, 0.000, 0.000], [0.000, 0.000, 0.534], [0.500, 0.500, 0.218], [0.500, 0.500, 0.743]], "volume_a3_per_atom": 22.07, "space_group": "P4mm (99)", "dft_energy_ev_per_atom": -3.78, "density_g_cm3": 8.8, "formation_energy_ev_per_atom": 0.29, "crystal_system": "tetragonal"}

=====

Record 7
{"formula": "LiTlCr2", "functional": "PBE", "state": "optimized geometry", "lattice_angstrom": [[-1.758, 1.758, 9.931], [1.758, -1.758, 9.931], [1.758, 1.758, -9.931]], "species": ["Li", "Li", "Tl", "Tl", "Cr", "Cr", "Cr", "Cr"], "frac_coords": [[0.000, 0.000, 0.000], [0.750, 0.250, 0.500], [0.250, 0.750, 0.500], [0.500, 0.500, 0.000], [0.080, 0.625, 0.955], [0.375, 0.330, 0.455], [0.670, 0.125, 0.045], [0.875, 0.920, 0.545]], "volume_a3_per_atom": 15.34, "space_group": "I-42d (122)", "dft_energy_ev_per_atom": -5.06, "density_g_cm3": 8.5, "formation_energy_ev_per_atom": 0.82, "crystal_system": "tetragonal"}

=====

Record 8
{"formula": "LiTl2Cr", "functional": "PBE", "state": "optimized geometry", "lattice_angstrom": [[-1.856, 2.310, 5.015], [1.856, -2.310, 5.015], [1.856, 2.310, -5.015]], "species": ["Li", "Tl", "Tl", "Cr"], "frac_coords": [[0.000, 0.000, 0.000], [0.250, 0.750, 0.500], [0.513, 0.513, 0.000], [0.757, 0.257, 0.500]], "volume_a3_per_atom": 21.50, "space_group": "Imm2 (44)", "dft_energy_ev_per_atom": -3.79, "density_g_cm3": 9.0, "formation_energy_ev_per_atom": 0.28, "crystal_system": "orthorhombic"}

=====

Record 9
{"formula": "LiTlCr2", "functional": "PBE", "state": "optimized geometry", "lattice_angstrom": [[3.386, 0.000, 0.000], [0.000, 4.151, 0.000], [0.000, 0.000, 4.673]], "species": ["Li", "Tl", "Cr", "Cr"], "frac_coords": [[0.000, 0.000, 0.000], [0.500, 0.500, 0.000], [0.000, 0.500, 0.500], [0.500, 0.000, 0.500]], "volume_a3_per_atom": 16.42, "space_group": "Pmmm (47)", "dft_energy_ev_per_atom": -5.49, "density_g_cm3": 8.0, "formation_energy_ev_per_atom": 0.39, "crystal_system": "orthorhombic"}

=====

Record 10
{"formula": "LiTl2Cr", "functional": "PBE", "state": "optimized geometry", "lattice_angstrom": [[5.230, -1.753, 0.000], [5.230, 1.753, 0.000], [-1.207, 0.000, 4.677]], "species": ["Li", "Tl", "Tl", "Cr"], "frac_coords": [[0.000, 0.000, 0.000], [0.510, 0.510, 0.521], [0.747, 0.747, 0.165], [0.253, 0.253, 0.676]], "volume_a3_per_atom": 21.44, "space_group": "Cm (8)", "dft_energy_ev_per_atom": -3.80, "density_g_cm3": 9.1, "formation_energy_ev_per_atom": 0.26, "crystal_system": "monoclinic"}

=====

Record 11
{"formula": "LiTlCr2", "functional": "PBE", "state": "optimized geometry", "lattice_angstrom": [[2.506, -4.850, 0.000], [2.506, 4.850, 0.000], [-1.540, 0.000, 2.457]], "species": ["Li", "Tl", "Cr", "Cr"], "frac_coords": [[0.000, 0.000, 0.000], [0.500, 0.500, 0.000], [0.000, 0.500, 0.500], [0.500, 0.000, 0.500]], "volume_a3_per_atom": 14.93, "space_group": "C2/m (12)", "dft_energy_ev_per_atom": -5.17, "density_g_cm3": 8.8, "formation_energy_ev_per_atom": 0.72, "crystal_system": "monoclinic"}

=====

Record 12
{"formula": "LiTlCr2", "functional": "PBE", "state": "optimized geometry", "lattice_angstrom": [[3.154, 0.000, 0.000], [0.000, 3.154, 0.000], [0.000, 0.000, 6.563]], "species": ["Li", "Tl", "Cr", "Cr"], "frac_coords": [[0.000, 0.000, 0.000], [0.500, 0.500, 0.263], [0.000, 0.000, 0.574], [0.500, 0.500, 0.736]], "volume_a3_per_atom": 16.32, "space_group": "P4mm (99)", "dft_energy_ev_per_atom": -5.59, "density_g_cm3": 8.0, "formation_energy_ev_per_atom": 0.29, "crystal_system": "tetragonal"}

=====

Record 13
{"formula": "LiTlCr2", "functional": "PBE", "state": "optimized geometry", "lattice_angstrom": [[4.885, -1.602, 0.000], [4.885, 1.602, 0.000], [-1.474, 0.000, 3.728]], "species": ["Li", "Tl", "Cr", "Cr"], "frac_coords": [[0.000, 0.000, 0.000], [0.500, 0.500, 0.500], [0.255, 0.255, 0.805], [0.745, 0.745, 0.195]], "volume_a3_per_atom": 14.59, "space_group": "C2/m (12)", "dft_energy_ev_per_atom": -5.35, "density_g_cm3": 9.0, "formation_energy_ev_per_atom": 0.53, "crystal_system": "monoclinic"}

=====

Record 14
{"formula": "LiTlCr4", "functional": "PBE", "state": "optimized geometry", "lattice_angstrom": [[0.000, 3.488, 3.488], [3.488, 0.000, 3.488], [3.488, 3.488, 0.000]], "species": ["Li", "Tl", "Cr", "Cr", "Cr", "Cr"], "frac_coords": [[0.000, 0.000, 0.000], [0.750, 0.750, 0.750], [0.369, 0.369, 0.369], [0.369, 0.369, 0.893], [0.369, 0.893, 0.369], [0.893, 0.369, 0.369]], "volume_a3_per_atom": 14.14, "space_group": "F-43m (216)", "dft_energy_ev_per_atom": -6.55, "density_g_cm3": 8.2, "formation_energy_ev_per_atom": 0.57, "crystal_system": "cubic"}

=====

Record 15
{"formula": "LiTl2Cr", "functional": "PBE", "state": "optimized geometry", "lattice_angstrom": [[0.000, 3.557, 3.557], [3.557, 0.000, 3.557], [3.557, 3.557, 0.000]], "species": ["Li", "Tl", "Tl", "Cr"], "frac_coords": [[0.000, 0.000, 0.000], [0.250, 0.250, 0.250], [0.500, 0.500, 0.500], [0.750, 0.750, 0.750]], "volume_a3_per_atom": 22.50, "space_group": "F-43m (216)", "dft_energy_ev_per_atom": -3.72, "density_g_cm3": 8.6, "formation_energy_ev_per_atom": 0.34, "crystal_system": "cubic"}

=====

Record 16
{"formula": "LiTlCr2", "functional": "PBE", "state": "optimized geometry", "lattice_angstrom": [[0.000, 3.227, 3.227], [3.227, 0.000, 3.227], [3.227, 3.227, 0.000]], "species": ["Li", "Tl", "Cr", "Cr"], "frac_coords": [[0.000, 0.000, 0.000], [0.750, 0.750, 0.750], [0.250, 0.250, 0.250], [0.500, 0.500, 0.500]], "volume_a3_per_atom": 16.81, "space_group": "F-43m (216)", "dft_energy_ev_per_atom": -5.51, "density_g_cm3": 7.8, "formation_energy_ev_per_atom": 0.37, "crystal_system": "cubic"}

=====

Record 17
{"formula": "LiTlCr2", "functional": "PBE", "state": "optimized geometry", "lattice_angstrom": [[2.850, 0.000, 0.000], [0.000, 4.296, 0.000], [0.000, 0.000, 5.046]], "species": ["Li", "Tl", "Cr", "Cr"], "frac_coords": [[0.000, 0.000, 0.000], [0.000, 0.000, 0.500], [0.500, 0.500, 0.189], [0.500, 0.500, 0.811]], "volume_a3_per_atom": 15.45, "space_group": "Pmmm (47)", "dft_energy_ev_per_atom": -5.22, "density_g_cm3": 8.5, "formation_energy_ev_per_atom": 0.66, "crystal_system": "orthorhombic"}

=====

Record 18
{"formula": "LiTlCr2", "functional": "PBE", "state": "optimized geometry", "lattice_angstrom": [[4.207, 0.000, 0.000], [0.000, 4.207, 0.000], [0.000, 0.000, 4.045]], "species": ["Li", "Tl", "Cr", "Cr"], "frac_coords": [[0.000, 0.000, 0.000], [0.500, 0.500, 0.000], [0.000, 0.500, 0.500], [0.500, 0.000, 0.500]], "volume_a3_per_atom": 17.90, "space_group": "P4/mmm (123)", "dft_energy_ev_per_atom": -5.29, "density_g_cm3": 7.3, "formation_energy_ev_per_atom": 0.59, "crystal_system": "tetragonal"}

=====

Record 19
{"formula": "LiTlCr2", "functional": "PBE", "state": "optimized geometry", "lattice_angstrom": [[2.736, 0.000, 0.000], [0.000, 2.736, 0.000], [0.000, 0.000, 8.342]], "species": ["Li", "Tl", "Cr", "Cr"], "frac_coords": [[0.000, 0.000, 0.000], [0.000, 0.000, 0.500], [0.500, 0.500, 0.236], [0.500, 0.500, 0.764]], "volume_a3_per_atom": 15.62, "space_group": "P4/mmm (123)", "dft_energy_ev_per_atom": -4.81, "density_g_cm3": 8.4, "formation_energy_ev_per_atom": 1.07, "crystal_system": "tetragonal"}

=====

Record 20
{"formula": "LiTl2Cr", "functional": "PBE", "state": "optimized geometry", "lattice_angstrom": [[1.679, 0.969, 9.613], [-1.679, 0.969, 9.613], [0.000, -1.938, 9.613]], "species": ["Li", "Tl", "Tl", "Cr"], "frac_coords": [[0.000, 0.000, 0.000], [0.512, 0.512, 0.512], [0.749, 0.749, 0.749], [0.257, 0.257, 0.257]], "volume_a3_per_atom": 23.46, "space_group": "R3m (160)", "dft_energy_ev_per_atom": -3.66, "density_g_cm3": 8.3, "formation_energy_ev_per_atom": 0.41, "crystal_system": "trigonal"}